Entry 1:
Compound: NpTcB14
Source: Alexandria
Functional: PBE
Structure: optimized geometry

It has space group Imma (No. 74), with a = 5.8627 Å, b = 10.8360 Å, c = 8.2258 Å, α = 90.00°, β = 90.00° and γ = 90.00°. The distinct sites, in fractional coordinates, are Np at (0.0000, 0.2500, 0.1269), Tc at (0.2500, 0.2500, 0.7500), B at (0.0000, 0.0827, 0.6705), B at (0.0000, 0.1238, 0.8710), B at (0.0000, 0.1670, 0.4640), B at (0.1616, 0.0627, 0.3386) and B at (0.2457, 0.0785, 0.5482).

The density of states at the Fermi level comes out at 11.66 states/eV/f.u. The energy relative to the elements is -0.036 eV per atom. The size of the total moment is 15.144 μB/cell.

=====

Entry 2:
Compound: NpTc3B2
Source: Alexandria
Functional: PBE
Structure: optimized geometry

It has space group Imma (No. 74), with a = 6.0763 Å, b = 9.4152 Å, c = 5.7266 Å, α = 90.00°, β = 90.00° and γ = 90.00°. The distinct sites, in fractional coordinates, are Np at (0.0000, 0.2500, 0.1851), Tc at (0.2353, 0.0000, 0.5000), Tc at (0.2500, 0.2500, 0.7500) and B at (0.0000, 0.0756, 0.7643).

The density of states at the Fermi level comes out at 7.60 states/eV/f.u. The energy relative to the elements is -0.184 eV per atom. The size of the total moment is 8.284 μB/cell.

=====

Entry 3:
Compound: NpTc2B6
Source: Alexandria
Functional: PBE
Structure: optimized geometry

It has space group P6/mmm (No. 191), with a = 5.3485 Å, b = 5.3485 Å, c = 3.4810 Å, α = 90.00°, β = 90.00° and γ = 120.00°. The distinct sites, in fractional coordinates, are Np at (0.0000, 0.0000, 0.0000), Tc at (0.3333, 0.6667, 0.0000) and B at (0.0000, 0.3410, 0.5000).

The density of states at the Fermi level comes out at 6.84 states/eV/f.u. The energy relative to the elements is -0.229 eV per atom. The size of the total moment is 2.220 μB/cell.

=====

Entry 4:
Compound: ThNpB12
Source: Alexandria
Functional: PBE
Structure: optimized geometry

It has space group P4/mmm (No. 123), with a = 4.1002 Å, b = 4.1002 Å, c = 8.1961 Å, α = 90.00°, β = 90.00° and γ = 90.00°. The distinct sites, in fractional coordinates, are Th at (0.0000, 0.0000, 0.0000), Np at (0.0000, 0.0000, 0.5000), B at (0.1977, 0.5000, 0.2511), B at (0.5000, 0.5000, 0.0994) and B at (0.5000, 0.5000, 0.4017).

The density of states at the Fermi level comes out at 5.91 states/eV/f.u. The energy relative to the elements is -0.390 eV per atom. The size of the total moment is 4.097 μB/cell.

=====

Entry 5:
Compound: TmNpB4
Source: Alexandria
Functional: PBE
Structure: optimized geometry

It has space group Pbam (No. 55), with a = 6.0740 Å, b = 11.9409 Å, c = 3.9399 Å, α = 90.00°, β = 90.00° and γ = 90.00°. The distinct sites, in fractional coordinates, are Tm at (0.1218, 0.1619, 0.0000), Np at (0.1232, 0.4257, 0.0000), B at (0.0143, 0.6954, 0.5000), B at (0.1276, 0.9684, 0.5000), B at (0.1307, 0.5563, 0.5000) and B at (0.2003, 0.8133, 0.5000).

The density of states at the Fermi level comes out at 5.19 states/eV/f.u. The energy relative to the elements is -0.219 eV per atom. The size of the total moment is 6.152 μB/cell.

=====

Entry 6:
Compound: TmNpB4
Source: Alexandria
Functional: PBE
Structure: optimized geometry

It has space group F-43m (No. 216), with a = 6.6424 Å, b = 6.6424 Å, c = 6.6424 Å, α = 90.00°, β = 90.00° and γ = 90.00°. The distinct sites, in fractional coordinates, are Tm at (0.0000, 0.0000, 0.0000), Np at (0.2500, 0.2500, 0.2500) and B at (0.0943, 0.0943, 0.5943).

The density of states at the Fermi level comes out at 12.77 states/eV/f.u. The energy relative to the elements is 0.420 eV per atom. The size of the total moment is 12.467 μB/cell.

=====

Entry 7:
Compound: NpUB4
Source: Alexandria
Functional: PBE
Structure: optimized geometry

It has space group Pbam (No. 55), with a = 5.8562 Å, b = 11.2612 Å, c = 4.0657 Å, α = 90.00°, β = 90.00° and γ = 90.00°. The distinct sites, in fractional coordinates, are Np at (0.1280, 0.0832, 0.0000), U at (0.1003, 0.3461, 0.0000), B at (0.0223, 0.8031, 0.5000), B at (0.1279, 0.9460, 0.5000), B at (0.1300, 0.5310, 0.5000) and B at (0.2104, 0.6882, 0.5000).

The density of states at the Fermi level comes out at 6.50 states/eV/f.u. The energy relative to the elements is -0.263 eV per atom. The size of the total moment is 3.428 μB/cell.

=====

Entry 8:
Compound: NpUB4
Source: Alexandria
Functional: PBE
Structure: optimized geometry

It has space group F-43m (No. 216), with a = 6.4645 Å, b = 6.4645 Å, c = 6.4645 Å, α = 90.00°, β = 90.00° and γ = 90.00°. The distinct sites, in fractional coordinates, are Np at (0.0000, 0.0000, 0.0000), U at (0.2500, 0.2500, 0.7500) and B at (0.1532, 0.1532, 0.3468).

The density of states at the Fermi level comes out at 4.23 states/eV/f.u. The energy relative to the elements is 0.129 eV per atom. The size of the total moment is 14.399 μB/cell.